Record 1
LaPC PBE relaxed; energy of formation = -536 meV/atom
1.0
3.906 -1.986 0.000
3.906 1.986 0.000
-2.124 0.000 7.362
La P C
2 2 2
Direct
0.081 0.081 0.272 La
0.919 0.919 0.728 La
0.323 0.323 0.997 P
0.677 0.677 0.003 P
0.415 0.415 0.459 C
0.585 0.585 0.541 C

Record 2
LaP2C PBE relaxed; energy of formation = -18 meV/atom
1.0
-3.174 3.174 3.510
3.174 -3.174 3.510
3.174 3.174 -3.510
La P C
2 4 2
Direct
0.000 0.000 0.000 La
0.750 0.250 0.500 La
0.254 0.625 0.129 P
0.375 0.504 0.629 P
0.496 0.125 0.871 P
0.875 0.746 0.371 P
0.250 0.750 0.500 C
0.500 0.500 0.000 C

no.,E_tot (eV per atom),calculated density (g/cm3)
1,-7.056,5.290
2,-6.261,4.997